CaLaNi3: optimized geometry, PBE-GGA.

## Properties
D(E_F)	2.581	states/eV per atom
size of the total moment	0.00	μB per formula unit
relative energy among the computed polymorphs	13	meV per atom
uncorrected energy	-4.19	eV/atom

a = 4.778 Å, b = 4.778 Å, c = 4.778 Å
α = 90.00°, β = 90.00°, γ = 90.00°
Positions (direct):
Ni  0.000  0.000  0.500
Ni  0.500  0.000  0.000
Ni  0.000  0.500  0.000
La  0.500  0.500  0.500
Ca  0.000  0.000  0.000